No. 1
AlCr2Pd8 after structural relaxation, computed with GGA-PBE.

Unit cell a=4.181 b=7.123 c=11.354 alpha=90.00 beta=90.00 gamma=90.00
Space group Immm (No. 71)
Inequivalent atoms, fractional coordinates:
1 Al 0.000 0.000 0.000
2 Cr 0.000 0.000 0.302
3 Pd 0.000 0.186 0.500
4 Pd 0.000 0.282 0.156
5 Pd 0.000 0.500 0.361

Results
ΔE_f: -0.179 eV/atom
crystal system: orthorhombic



No. 2
YTiBe2 after structural relaxation, computed with GGA-PBE.

Unit cell a=7.226 b=7.226 c=5.178 alpha=90.00 beta=90.00 gamma=90.00
Space group I-42d (No. 122)
Inequivalent atoms, fractional coordinates:
1 Y 0.000 0.000 0.000
2 Ti 0.000 0.000 0.500
3 Be 0.217 0.750 0.625

Results
ΔE_f: 0.583 eV/atom
crystal system: tetragonal
ΔE to the lowest computed polymorph: 567 meV/atom



No. 3
RbHfSb2 after structural relaxation, computed with GGA-PBE.

Unit cell a=4.0115 b=4.0115 c=27.8657 alpha=90.00 beta=90.00 gamma=120.00
Space group R3m (No. 160, hexagonal axes)
Inequivalent atoms, fractional coordinates:
1 Rb 0.0000 0.0000 0.0000
2 Hf 0.0000 0.0000 0.1681
3 Sb 0.0000 0.0000 0.5659
4 Sb 0.0000 0.0000 0.7693

Results
ΔE_f (raw): -362.6 meV per atom
crystal system: trigonal
ΔE to the lowest computed polymorph: 4 meV/atom



No. 4
Li2CePuGe2 after structural relaxation, computed with GGA-PBE.

Unit cell a=4.6415 b=4.6415 c=6.3443 alpha=90.00 beta=90.00 gamma=120.00
Space group P-3m1 (No. 164)
Inequivalent atoms, fractional coordinates:
1 Li 0.3333 0.6667 0.2655
2 Ce 0.0000 0.0000 0.0000
3 Pu 0.0000 0.0000 0.5000
4 Ge 0.3333 0.6667 0.7435

Results
ΔE_f: -0.467 eV/atom
crystal system: trigonal



No. 5
Pr2Mg2Cd after structural relaxation, computed with GGA-PBE.

Unit cell a=11.506 b=5.294 c=9.585 alpha=90.00 beta=107.06 gamma=90.00
Space group C2/m (No. 12)
Inequivalent atoms, fractional coordinates:
1 Pr 0.035 0.000 0.347
2 Pr 0.168 0.000 0.066
3 Mg 0.021 0.500 0.858
4 Mg 0.141 0.500 0.579
5 Cd 0.238 0.500 0.301

Results
ΔE_f: -0.150 eV/atom
crystal system: monoclinic
ΔE to the lowest computed polymorph: 0 meV/atom



No. 6
Pm2YTm5Th after structural relaxation, computed with GGA-PBE.

Unit cell a=8.676 b=8.676 c=15.180 alpha=90.00 beta=90.00 gamma=90.00
Space group I4/mcm (No. 140)
Inequivalent atoms, fractional coordinates:
1 Pm 0.115 0.385 0.000
2 Y 0.000 0.500 0.250
3 Tm 0.000 0.000 0.000
4 Tm 0.213 0.287 0.361
5 Th 0.000 0.000 0.250

Results
ΔE_f: 0.293 eV/atom
crystal system: tetragonal